Entry 1:
Computed, not measured: a relaxed Be2As crystal at the GGA-PBE level of DFT.

The value obtained for the calculated volume is 287.2 Å³/cell. Its magnetic moment is 0.000 μB per formula unit. The relative energy among the computed polymorphs is 360 meV per atom.

The structure belongs to space group Fd-3m (No. 227, origin choice 2); the cell edges are 6.598, 6.598 and 6.598 Å and the angles 90.00°, 90.00° and 90.00°. The distinct sites, in fractional coordinates, are Be at (0.000, 0.000, 0.000) and As at (0.125, 0.125, 0.625).

Entry 2:
Computed, not measured: a relaxed BeAs crystal at the GGA-PBE level of DFT.

The value obtained for the calculated volume is 142.5 Å³/cell. Its magnetic moment is 0.000 μB per formula unit. The relative energy among the computed polymorphs is 125 meV per atom.

The structure belongs to space group Cmme (No. 67); the cell edges are 3.877, 4.971 and 7.395 Å and the angles 90.00°, 90.00° and 90.00°. The distinct sites, in fractional coordinates, are Be at (0.000, 0.250, 0.076) and As at (0.000, 0.250, 0.762).

Please write out number 2 again, unchanged.
Computed, not measured: a relaxed BeAs crystal at the GGA-PBE level of DFT.

The value obtained for the calculated volume is 142.5 Å³/cell. Its magnetic moment is 0.000 μB per formula unit. The relative energy among the computed polymorphs is 125 meV per atom.

The structure belongs to space group Cmme (No. 67); the cell edges are 3.877, 4.971 and 7.395 Å and the angles 90.00°, 90.00° and 90.00°. The distinct sites, in fractional coordinates, are Be at (0.000, 0.250, 0.076) and As at (0.000, 0.250, 0.762).